Record 1
Entry from Alexandria via LeMat-Bulk: crystalline Tb4NdDySe8 at its relaxed geometry (GGA-PBE).

a = 8.494 Å, b = 8.494 Å, c = 8.486 Å
α = 59.97°, β = 59.97°, γ = 60.00°
Fractional coordinates of all 14 atoms:
Se  0.782  0.239  0.741
Se  0.228  0.758  0.256
Se  0.239  0.782  0.741
Se  0.758  0.228  0.256
Se  0.757  0.757  0.730
Se  0.758  0.758  0.256
Se  0.239  0.239  0.741
Se  0.240  0.240  0.281
Tb  0.625  0.625  0.126
Tb  0.502  0.999  0.499
Tb  0.999  0.502  0.499
Tb  0.999  0.999  0.499
Nd  0.375  0.375  0.874
Dy  0.999  0.999  0.002

Summary:
calculated volume = 30.91 A^3/atom
space-group type = R3m, No. 160

---

Record 2
Entry from Alexandria via LeMat-Bulk: crystalline TbNdDy2Se6 at its relaxed geometry (GGA-PBE).

a = 7.288 Å, b = 7.288 Å, c = 7.756 Å
α = 61.97°, β = 61.97°, γ = 59.99°
Fractional coordinates of all 10 atoms:
Dy  0.012  0.013  0.962
Dy  0.515  0.515  0.455
Se  0.725  0.127  0.749
Se  0.226  0.913  0.248
Se  0.127  0.400  0.749
Se  0.400  0.725  0.749
Se  0.613  0.226  0.248
Se  0.913  0.613  0.248
Nd  0.813  0.813  0.560
Tb  0.317  0.317  0.048

Summary:
calculated volume = 29.96 A^3/atom
space-group type = R3, No. 146

---

Record 3
Entry from Alexandria via LeMat-Bulk: crystalline Tb2NdDySe6 at its relaxed geometry (GGA-PBE).

a = 7.297 Å, b = 7.297 Å, c = 7.767 Å
α = 61.98°, β = 61.98°, γ = 60.00°
Fractional coordinates of all 10 atoms:
Se  0.224  0.917  0.248
Se  0.722  0.125  0.750
Se  0.402  0.722  0.750
Se  0.610  0.224  0.248
Se  0.917  0.610  0.248
Se  0.125  0.402  0.750
Tb  0.516  0.516  0.452
Tb  0.013  0.013  0.961
Dy  0.318  0.318  0.046
Nd  0.814  0.814  0.559

Summary:
calculated volume = 30.09 A^3/atom
space-group type = R3, No. 146

---

| no. | formation energy without anion corrections (eV per atom) |
| --- | --- |
| 1 | -1.721 |
| 2 | -1.849 |
| 3 | -1.849 |